## Li2FeF6 (PBE with a Hubbard U)

Data for a relaxed Li2FeF6 crystal.

extended XYZ file:
```
27
Lattice="7.3628 -4.2573 0.0000 7.3628 4.2573 0.0000 -0.0189 0.0000 4.6749" Properties=species:S:1:pos:R:3 pbc="T T T"
Li 0.0000 0.0000 0.0000
Li 5.1359 0.4159 4.6260
Li 2.6762 -1.0409 2.3498
Li 9.5709 0.4159 0.0489
Li 7.3534 -1.3952 2.3375
Li 12.0305 -1.0409 2.3251
Fe 7.3534 1.7050 2.3375
Fe 4.9109 -2.5707 0.0576
Fe 9.7959 -2.5707 4.6173
F 3.9555 1.7424 0.9753
F 1.7577 0.3525 0.9778
F 6.5661 2.9907 1.3137
F 3.3025 0.4308 3.5854
F 5.8142 1.7662 3.3498
F 8.1406 2.9907 3.3612
F 8.8926 1.7662 1.3251
F 6.6494 0.3679 1.3151
F 4.2814 -1.2119 1.0925
F 8.0574 0.3679 3.3598
F 10.7513 1.7424 3.6996
F 5.7174 -1.2845 3.6971
F 11.4042 0.4308 1.0895
F 6.4117 -2.6974 1.0936
F 8.9894 -1.2845 0.9778
F 12.9491 0.3525 3.6971
F 10.4253 -1.2119 3.5824
F 8.2950 -2.6974 3.5813
```

Results
The space group is C2. The value obtained for the raw total energy is -125.26 eV/cell. For the offset from the most stable computed form, the calculation gives 48 meV per atom. The size of the total moment is 0.076 μB/atom.